# RbGaSe

Crystalline RbGaSe at its relaxed geometry (PBE-GGA, Alexandria via LeMat-Bulk).

Computed properties:
The energy above the most stable polymorph in this dataset is 0 meV per atom. The uncorrected formation energy is -2.10 eV per formula unit.

abc: 5.0840 4.7272 10.0096
angles: 90.00 104.31 90.00
Space group P2_1/m (No. 11)
Symmetry-distinct sites (fractional):
1 Rb 0.1698 0.2500 0.3299 [2 per cell]
2 Ga 0.4666 0.2500 0.9384 [2 per cell]
3 Se 0.3429 0.2500 0.6969 [2 per cell]

---

# RbGaSe2

Crystalline RbGaSe2 at its relaxed geometry (PBE-GGA, Alexandria via LeMat-Bulk).

Computed properties:
The uncorrected formation energy is -3.52 eV per formula unit.

abc: 3.9735 3.9735 14.5963
angles: 90.00 90.00 90.00
Space group I-4m2 (No. 119)
Symmetry-distinct sites (fractional):
1 Rb 0.0000 0.0000 0.0000 [2 per cell]
2 Ga 0.0000 0.5000 0.7500 [2 per cell]
3 Se 0.0000 0.0000 0.3512 [4 per cell]

---

# RbGaSe4

Crystalline RbGaSe4 at its relaxed geometry (PBE-GGA, Alexandria via LeMat-Bulk).

Computed properties:
The uncorrected formation energy is -1.17 eV per formula unit.

abc: 7.8096 7.8096 13.0458
angles: 90.00 90.00 90.00
Space group I4_1/amd (No. 141, origin choice 2)
Symmetry-distinct sites (fractional):
1 Rb 0.0000 0.2500 0.3750 [4 per cell]
2 Ga 0.0000 0.2500 0.8750 [4 per cell]
3 Se 0.0000 0.0932 0.0946 [16 per cell]

---

# RbGaSe2

Crystalline RbGaSe2 at its relaxed geometry (PBE-GGA, Alexandria via LeMat-Bulk).

Computed properties:
The uncorrected formation energy is -3.70 eV per formula unit.

abc: 7.5282 7.5282 8.9399
angles: 90.00 90.00 90.00
Space group I-42d (No. 122)
Symmetry-distinct sites (fractional):
1 Rb 0.0000 0.0000 0.0000 [4 per cell]
2 Ga 0.0000 0.0000 0.5000 [4 per cell]
3 Se 0.1478 0.2500 0.6250 [8 per cell]

---

# RbGaSe2

Crystalline RbGaSe2 at its relaxed geometry (PBE-GGA, Alexandria via LeMat-Bulk).

Computed properties:
The uncorrected formation energy is -2.71 eV per formula unit.

abc: 9.1275 5.0160 14.4896
angles: 90.00 124.39 90.00
Space group P2_1/c (No. 14)
Symmetry-distinct sites (fractional):
1 Rb 0.2202 0.1270 0.4356 [4 per cell]
2 Ga 0.3780 0.0230 0.2467 [4 per cell]
3 Se 0.0654 0.1358 0.0849 [4 per cell]
4 Se 0.4155 0.5313 0.3205 [4 per cell]

---

# RbGaSe2

Crystalline RbGaSe2 at its relaxed geometry (PBE-GGA, Alexandria via LeMat-Bulk).

Computed properties:
The uncorrected formation energy is -3.79 eV per formula unit.

abc: 6.3284 7.1161 7.7122
angles: 70.03 89.09 72.54
Space group P-1 (No. 2)
Symmetry-distinct sites (fractional):
1 Rb 0.1263 0.1630 0.2239 [2 per cell]
2 Ga 0.2576 0.4921 0.5043 [2 per cell]
3 Se 0.0546 0.3044 0.7381 [2 per cell]
4 Se 0.4195 0.7175 0.5988 [2 per cell]

---

# RbGaSe2

Crystalline RbGaSe2 at its relaxed geometry (PBE-GGA, Alexandria via LeMat-Bulk).

Computed properties:
The uncorrected formation energy is -3.13 eV per formula unit.

abc: 6.7834 5.4600 15.6974
angles: 90.00 114.12 90.00
Space group P2_1/c (No. 14)
Symmetry-distinct sites (fractional):
1 Rb 0.2087 0.0297 0.2111 [4 per cell]
2 Ga 0.4173 0.2091 0.4984 [4 per cell]
3 Se 0.0378 0.2115 0.4888 [4 per cell]
4 Se 0.3718 0.5085 0.3694 [4 per cell]

---

# RbGaSe2

Crystalline RbGaSe2 at its relaxed geometry (PBE-GGA, Alexandria via LeMat-Bulk).

Computed properties:
The uncorrected formation energy is -3.69 eV per formula unit.

abc: 6.3234 13.3775 6.5131
angles: 90.00 90.00 90.00
Space group Ama2 (No. 40)
Symmetry-distinct sites (fractional):
1 Rb 0.2500 0.2495 0.0000 [4 per cell]
2 Ga 0.0000 0.0000 0.7488 [4 per cell]
3 Se 0.2500 0.0996 0.5469 [4 per cell]
4 Se 0.2500 0.4005 0.4512 [4 per cell]

---

# Rb3Ga2Se4

Crystalline Rb3Ga2Se4 at its relaxed geometry (PBE-GGA, Alexandria via LeMat-Bulk).

Computed properties:
The uncorrected formation energy is -8.22 eV per formula unit.

abc: 14.1327 11.2261 8.1428
angles: 90.00 97.96 90.00
Space group C2/c (No. 15)
Symmetry-distinct sites (fractional):
1 Rb 0.0000 0.1057 0.2500 [4 per cell]
2 Rb 0.1336 0.3668 0.5965 [8 per cell]
3 Ga 0.2080 0.1170 0.9340 [8 per cell]
4 Se 0.1230 0.3043 0.0080 [8 per cell]
5 Se 0.1796 0.0542 0.6198 [8 per cell]

---

# RbGa2Se3

Crystalline RbGa2Se3 at its relaxed geometry (PBE-GGA, Alexandria via LeMat-Bulk).

Computed properties:
The uncorrected formation energy is -4.15 eV per formula unit.

abc: 23.1967 4.5668 7.8381
angles: 90.00 103.70 90.00
Space group C2/m (No. 12)
Symmetry-distinct sites (fractional):
1 Rb 0.1423 0.0000 0.4467 [4 per cell]
2 Ga 0.0582 0.5000 0.9274 [4 per cell]
3 Ga 0.2011 0.0000 0.0253 [4 per cell]
4 Se 0.0468 0.5000 0.2280 [4 per cell]
5 Se 0.0985 0.0000 0.8423 [4 per cell]
6 Se 0.2255 0.5000 0.1767 [4 per cell]

---

# RbGaSe2

Crystalline RbGaSe2 at its relaxed geometry (PBE-GGA, Alexandria via LeMat-Bulk).

Computed properties:
The uncorrected formation energy is -2.60 eV per formula unit.

abc: 4.2093 4.2093 8.2189
angles: 90.00 90.00 120.00
Space group P3m1 (No. 156)
Symmetry-distinct sites (fractional):
1 Rb 0.0000 0.0000 0.0000 [1 per cell]
2 Ga 0.3333 0.6667 0.4693 [1 per cell]
3 Se 0.3333 0.6667 0.7435 [1 per cell]
4 Se 0.6667 0.3333 0.3357 [1 per cell]

---

# RbGa3Se

Crystalline RbGa3Se at its relaxed geometry (PBE-GGA, Alexandria via LeMat-Bulk).

Computed properties:
The energy above the most stable polymorph in this dataset is 0 meV per atom. The uncorrected formation energy is 0.97 eV per formula unit.

abc: 5.5886 5.5886 5.5886
angles: 90.00 90.00 90.00
Space group Pm-3m (No. 221)
Symmetry-distinct sites (fractional):
1 Rb 0.0000 0.0000 0.0000 [1 per cell]
2 Ga 0.0000 0.5000 0.5000 [3 per cell]
3 Se 0.5000 0.5000 0.5000 [1 per cell]

---

# RbGaSe2

Crystalline RbGaSe2 at its relaxed geometry (PBE-GGA, Alexandria via LeMat-Bulk).

Computed properties:
The uncorrected formation energy is -1.82 eV per formula unit.

abc: 3.9385 3.9385 27.5249
angles: 90.00 90.00 120.00
Space group R-3m (No. 166, hexagonal axes)
Symmetry-distinct sites (fractional):
1 Rb 0.0000 0.0000 0.0000 [3 per cell]
2 Ga 0.0000 0.0000 0.5000 [3 per cell]
3 Se 0.0000 0.0000 0.1157 [6 per cell]

---

# RbGaSe2

Crystalline RbGaSe2 at its relaxed geometry (PBE-GGA, Alexandria via LeMat-Bulk).

Computed properties:
The uncorrected formation energy is -2.29 eV per formula unit.

abc: 6.8590 3.6031 18.5174
angles: 90.00 90.00 90.00
Space group Pnma (No. 62)
Symmetry-distinct sites (fractional):
1 Rb 0.2488 0.2500 0.0842 [4 per cell]
2 Ga 0.2476 0.7500 0.3231 [4 per cell]
3 Se 0.0010 0.7500 0.7499 [4 per cell]
4 Se 0.2488 0.2500 0.4213 [4 per cell]

---

# Rb2GaSiSe4

Crystalline Rb2GaSiSe4 at its relaxed geometry (PBE-GGA, Alexandria via LeMat-Bulk).

Computed properties:
The uncorrected formation energy is -6.03 eV per formula unit.

abc: 6.1521 14.4171 24.4424
angles: 90.00 90.00 90.00
Space group Fddd (No. 70, origin choice 2)
Symmetry-distinct sites (fractional):
1 Rb 0.1250 0.1250 0.3054 [16 per cell]
2 Ga 0.1250 0.1250 0.1250 [8 per cell]
3 Si 0.1250 0.1250 0.6250 [8 per cell]
4 Se 0.1225 0.2807 0.8209 [32 per cell]

---

# Rb2SmGaSe4

Crystalline Rb2SmGaSe4 at its relaxed geometry (PBE-GGA, Alexandria via LeMat-Bulk).

Computed properties:
The uncorrected formation energy is -8.79 eV per formula unit.

abc: 12.1577 12.6462 8.6706
angles: 90.00 132.89 90.00
Space group C2/c (No. 15)
Symmetry-distinct sites (fractional):
1 Rb 0.0000 0.0000 0.0000 [4 per cell]
2 Rb 0.2500 0.2500 0.0000 [4 per cell]
3 Sm 0.2500 0.2500 0.5000 [4 per cell]
4 Ga 0.0000 0.5000 0.0000 [4 per cell]
5 Se 0.0057 0.2682 0.0358 [8 per cell]
6 Se 0.1976 0.4885 0.4788 [8 per cell]

---

# RbGa2SnSe6

Crystalline RbGa2SnSe6 at its relaxed geometry (PBE-GGA, Alexandria via LeMat-Bulk).

Computed properties:
The uncorrected formation energy is -4.92 eV per formula unit.

abc: 14.4052 13.0402 8.4611
angles: 90.00 123.61 90.00
Space group C2/c (No. 15)
Symmetry-distinct sites (fractional):
1 Rb 0.0000 0.1861 0.2500 [4 per cell]
2 Ga 0.1832 0.4276 0.0609 [8 per cell]
3 Sn 0.0000 0.1594 0.7500 [4 per cell]
4 Se 0.1076 0.4610 0.2885 [8 per cell]
5 Se 0.1244 0.0445 0.6816 [8 per cell]
6 Se 0.1431 0.2478 0.0644 [8 per cell]

---

# RbGaSn2Se6

Crystalline RbGaSn2Se6 at its relaxed geometry (PBE-GGA, Alexandria via LeMat-Bulk).

Computed properties:
The uncorrected formation energy is -4.71 eV per formula unit.

abc: 14.1820 15.4310 7.6663
angles: 90.00 115.20 90.00
Space group C2/c (No. 15)
Symmetry-distinct sites (fractional):
1 Rb 0.0000 0.1056 0.2500 [4 per cell]
2 Ga 0.0000 0.2275 0.7500 [4 per cell]
3 Sn 0.1942 0.4201 0.1475 [8 per cell]
4 Se 0.0579 0.2963 0.0569 [8 per cell]
5 Se 0.1078 0.1006 0.7402 [8 per cell]
6 Se 0.1504 0.4386 0.4487 [8 per cell]

---

# RbSr2GaSe4

Crystalline RbSr2GaSe4 at its relaxed geometry (PBE-GGA, Alexandria via LeMat-Bulk).

Computed properties:
The uncorrected formation energy is -9.59 eV per formula unit.

abc: 8.9365 9.1143 12.4516
angles: 90.00 90.00 90.00
Space group Imma (No. 74)
Symmetry-distinct sites (fractional):
1 Rb 0.2500 0.2500 0.2500 [4 per cell]
2 Sr 0.0000 0.0000 0.0000 [4 per cell]
3 Sr 0.2500 0.2500 0.7500 [4 per cell]
4 Ga 0.0000 0.0000 0.5000 [4 per cell]
5 Se 0.0000 0.0151 0.6919 [8 per cell]
6 Se 0.2336 0.2500 0.9912 [8 per cell]

---

# Rb2TaGaSe5

Crystalline Rb2TaGaSe5 at its relaxed geometry (PBE-GGA, Alexandria via LeMat-Bulk).

Computed properties:
The uncorrected formation energy is -7.94 eV per formula unit.

abc: 3.8158 14.6848 10.4831
angles: 90.00 100.46 90.00
Space group P2_1 (No. 4)
Symmetry-distinct sites (fractional):
1 Rb 0.1239 0.0000 0.2473 [2 per cell]
2 Rb 0.1238 0.6185 0.2481 [2 per cell]
3 Ta 0.2180 0.3349 0.4354 [2 per cell]
4 Ga 0.4251 0.7462 0.8532 [2 per cell]
5 Se 0.0778 0.3512 0.1529 [2 per cell]
6 Se 0.2896 0.9550 0.5801 [2 per cell]
7 Se 0.3046 0.7094 0.6103 [2 per cell]
8 Se 0.3321 0.3101 0.6639 [2 per cell]
9 Se 0.4867 0.6122 0.9745 [2 per cell]